1.
# GGA-PBE ErGePbS3, relaxed
# * SG: No. 63
# * final energy: -5.110 eV/atom
# * total moment: 0.0 Bohr magnetons per cell
data_ErGePbS3
_chemical_formula_sum 'Er2 Ge2 Pb2 S6'
_cell_length_a 7.3971
_cell_length_b 7.3971
_cell_length_c 10.9399
_cell_angle_alpha 90.00
_cell_angle_beta 90.00
_cell_angle_gamma 150.26
_space_group_name_H-M_alt 'P 1'
_space_group_IT_number 1
loop_
_space_group_symop_operation_xyz
'x,y,z'
loop_
_atom_site_label
_atom_site_type_symbol
_atom_site_fract_x
_atom_site_fract_y
_atom_site_fract_z
_atom_site_occupancy
Er1 Er 0.0000 0.0000 0.0000 1
Er2 Er 0.0000 0.0000 0.5000 1
Ge1 Ge 0.3694 0.6306 0.2500 1
Ge2 Ge 0.6306 0.3694 0.7500 1
Pb1 Pb 0.6795 0.3205 0.2500 1
Pb2 Pb 0.3205 0.6795 0.7500 1
S1 S 0.3680 0.6320 0.0093 1
S2 S 0.9972 0.0028 0.2500 1
S3 S 0.3680 0.6320 0.4907 1
S4 S 0.6320 0.3680 0.5093 1
S5 S 0.0028 0.9972 0.7500 1
S6 S 0.6320 0.3680 0.9907 1

2.
# GGA-PBE GaFe2Re, relaxed
# * SG: No. 216
# * final energy: -7.915 eV/atom
# * total moment: 3.4 Bohr magnetons per cell
data_GaFe2Re
_chemical_formula_sum 'Ga1 Fe2 Re1'
_cell_length_a 4.1712
_cell_length_b 4.1712
_cell_length_c 4.1712
_cell_angle_alpha 60.00
_cell_angle_beta 60.00
_cell_angle_gamma 60.00
_space_group_name_H-M_alt 'P 1'
_space_group_IT_number 1
loop_
_space_group_symop_operation_xyz
'x,y,z'
loop_
_atom_site_label
_atom_site_type_symbol
_atom_site_fract_x
_atom_site_fract_y
_atom_site_fract_z
_atom_site_occupancy
Fe1 Fe 0.0000 0.0000 0.0000 1
Fe2 Fe 0.7500 0.7500 0.7500 1
Ga1 Ga 0.5000 0.5000 0.5000 1
Re1 Re 0.2500 0.2500 0.2500 1

3.
# GGA-PBE CuAg4, relaxed
# * SG: No. 12
# * polymorph energy (0 for the lowest one): 22 meV per atom
# * ΔH_f (0 K): 0.05 eV per atom
data_CuAg4
_chemical_formula_sum 'Cu2 Ag8'
_cell_length_a 9.9727
_cell_length_b 9.9727
_cell_length_c 5.8842
_cell_angle_alpha 98.34
_cell_angle_beta 98.34
_cell_angle_gamma 16.85
_space_group_name_H-M_alt 'P 1'
_space_group_IT_number 1
loop_
_space_group_symop_operation_xyz
'x,y,z'
loop_
_atom_site_label
_atom_site_type_symbol
_atom_site_fract_x
_atom_site_fract_y
_atom_site_fract_z
_atom_site_occupancy
Ag1 Ag 0.1093 0.1093 0.0621 1
Ag2 Ag 0.2938 0.2938 0.1659 1
Ag3 Ag 0.4980 0.4980 0.2445 1
Ag4 Ag 0.8960 0.8960 0.4584 1
Ag5 Ag 0.1040 0.1040 0.5416 1
Ag6 Ag 0.5020 0.5020 0.7555 1
Ag7 Ag 0.7062 0.7062 0.8341 1
Ag8 Ag 0.8907 0.8907 0.9379 1
Cu1 Cu 0.7043 0.7043 0.3685 1
Cu2 Cu 0.2957 0.2957 0.6315 1